Crystalline MnTcSeN2 at its relaxed geometry, computed with GGA-PBE.

Results
The energy relative to the lowest polymorph listed for this composition comes out at 0.000 eV/f.u.

a = 3.820 Å, b = 3.820 Å, c = 5.418 Å
α = 90.00°, β = 90.00°, γ = 90.00°
Site moments in Bohr magnetons follow the coordinates.
Positions (direct):
N1 0.000 0.500 0.000  -0.08
N2 0.500 0.000 0.000  -0.08
Se1 0.000 0.000 0.500  0.02
Tc1 0.000 0.000 0.000  -0.13
Mn1 0.500 0.500 0.500  4.30

***

Crystalline MnTcSe2N at its relaxed geometry, computed with GGA-PBE.

Results
The energy relative to the lowest polymorph listed for this composition comes out at 0.000 eV/f.u.

a = 5.077 Å, b = 5.077 Å, c = 3.698 Å
α = 90.00°, β = 90.00°, γ = 90.00°
Site moments in Bohr magnetons follow the coordinates.
Positions (direct):
N1 0.000 0.000 0.500  0.04
Se1 0.000 0.500 0.000  -0.02
Se2 0.500 0.000 0.000  -0.02
Tc1 0.000 0.000 0.000  -0.23
Mn1 0.500 0.500 0.500  4.40

***

Crystalline MnTcSeN2 at its relaxed geometry, computed with GGA-PBE.

Results
The energy relative to the lowest polymorph listed for this composition comes out at 2.246 eV/f.u.

a = 3.640 Å, b = 3.640 Å, c = 5.199 Å
α = 90.00°, β = 90.00°, γ = 90.00°
Site moments in Bohr magnetons follow the coordinates.
Positions (direct):
N1 0.000 0.500 0.000  -0.08
N2 0.500 0.000 0.000  -0.08
Tc1 0.500 0.500 0.500  2.81
Se1 0.000 0.000 0.500  0.02
Mn1 0.000 0.000 0.000  0.35

***

Crystalline MnTcSe2N at its relaxed geometry, computed with GGA-PBE.

Results
The energy relative to the lowest polymorph listed for this composition comes out at 1.181 eV/f.u.

a = 4.901 Å, b = 4.901 Å, c = 3.418 Å
α = 90.00°, β = 90.00°, γ = 90.00°
Site moments in Bohr magnetons follow the coordinates.
Positions (direct):
Se1 0.000 0.500 0.000  -0.11
Se2 0.500 0.000 0.000  -0.11
Tc1 0.500 0.500 0.500  2.46
Mn1 0.000 0.000 0.000  1.60
N1 0.000 0.000 0.500  -0.16

***

The calculation returns the following density of states at the Fermi level values, one per record and in order: 2.85, 2.29, 3.55, 4.70 states/eV/cell.
The calculation returns the following formation energy without anion corrections values, one per record and in order: 236, 162, 453, 275 kJ/mol of formula units.
The calculation returns the following M_tot values, one per record and in order: 4.3, 4.5, 3.3, 4.0 μB/f.u..